Record 1
The following is a PBE calculation of an optimized crystal structure of LiCuNiTe, from OQMD.

Geometry as CIF:
```
data_LiCuNiTe
_space_group_name_H-M_alt 'P 1'
_space_group_IT_number 1
_cell_length_a 4.3495
_cell_length_b 4.3495
_cell_length_c 4.3495
_cell_angle_alpha 60.00
_cell_angle_beta 60.00
_cell_angle_gamma 60.00
loop_
_space_group_symop_operation_xyz
'x,y,z'
loop_
_atom_site_label
_atom_site_fract_x
_atom_site_fract_y
_atom_site_fract_z
_atom_site_occupancy
Cu1 0.7500 0.7500 0.7500 1
Li1 0.0000 0.0000 0.0000 1
Ni1 0.5000 0.5000 0.5000 1
Te1 0.2500 0.2500 0.2500 1
```

## Properties
Total magnetization ... 0.00 Bohr magnetons per cell
E above lowest polymorph ... 0.00 eV/f.u.
Raw total energy ... -15.0 eV/cell


Record 2
The following is a PBE calculation of an optimized crystal structure of LiTlCuNi, from OQMD.

Geometry as CIF:
```
data_LiTlCuNi
_space_group_name_H-M_alt 'P 1'
_space_group_IT_number 1
_cell_length_a 4.3377
_cell_length_b 4.3377
_cell_length_c 4.3377
_cell_angle_alpha 60.00
_cell_angle_beta 60.00
_cell_angle_gamma 60.00
loop_
_space_group_symop_operation_xyz
'x,y,z'
loop_
_atom_site_label
_atom_site_fract_x
_atom_site_fract_y
_atom_site_fract_z
_atom_site_occupancy
Cu1 0.5000 0.5000 0.5000 1
Li1 0.2500 0.2500 0.2500 1
Ni1 0.7500 0.7500 0.7500 1
Tl1 0.0000 0.0000 0.0000 1
```

## Properties
Total magnetization ... 0.00 Bohr magnetons per cell
E above lowest polymorph ... 0.00 eV/f.u.
Raw total energy ... -13.5 eV/cell


Record 3
The following is a PBE calculation of an optimized crystal structure of LiTlCuNi, from OQMD.

Geometry as CIF:
```
data_LiTlCuNi
_space_group_name_H-M_alt 'P 1'
_space_group_IT_number 1
_cell_length_a 4.3639
_cell_length_b 4.3639
_cell_length_c 4.3639
_cell_angle_alpha 60.00
_cell_angle_beta 60.00
_cell_angle_gamma 60.00
loop_
_space_group_symop_operation_xyz
'x,y,z'
loop_
_atom_site_label
_atom_site_fract_x
_atom_site_fract_y
_atom_site_fract_z
_atom_site_occupancy
Cu1 0.7500 0.7500 0.7500 1
Li1 0.5000 0.5000 0.5000 1
Ni1 0.2500 0.2500 0.2500 1
Tl1 0.0000 0.0000 0.0000 1
```

## Properties
Total magnetization ... 0.00 Bohr magnetons per cell
E above lowest polymorph ... 0.23 eV/f.u.
Raw total energy ... -13.3 eV/cell


Record 4
The following is a PBE calculation of an optimized crystal structure of LiZn2Cu4Ni, from OQMD.

Geometry as CIF:
```
data_LiZn2Cu4Ni
_space_group_name_H-M_alt 'P 1'
_space_group_IT_number 1
_cell_length_a 4.0735
_cell_length_b 4.0735
_cell_length_c 5.7988
_cell_angle_alpha 90.00
_cell_angle_beta 90.00
_cell_angle_gamma 90.00
loop_
_space_group_symop_operation_xyz
'x,y,z'
loop_
_atom_site_label
_atom_site_fract_x
_atom_site_fract_y
_atom_site_fract_z
_atom_site_occupancy
Cu1 0.5000 0.0000 0.2492 1
Cu2 0.0000 0.5000 0.2492 1
Cu3 0.5000 0.0000 0.7508 1
Cu4 0.0000 0.5000 0.7508 1
Li1 0.0000 0.0000 0.5000 1
Ni1 0.5000 0.5000 0.0000 1
Zn1 0.0000 0.0000 0.0000 1
Zn2 0.5000 0.5000 0.5000 1
```

## Properties
Total magnetization ... 0.00 Bohr magnetons per cell
Raw total energy ... -25.5 eV/cell


Record 5
The following is a PBE calculation of an optimized crystal structure of Li4ZnCuNi2, from OQMD.

Geometry as CIF:
```
data_Li4ZnCuNi2
_space_group_name_H-M_alt 'P 1'
_space_group_IT_number 1
_cell_length_a 4.0999
_cell_length_b 4.0999
_cell_length_c 5.8242
_cell_angle_alpha 90.00
_cell_angle_beta 90.00
_cell_angle_gamma 90.00
loop_
_space_group_symop_operation_xyz
'x,y,z'
loop_
_atom_site_label
_atom_site_fract_x
_atom_site_fract_y
_atom_site_fract_z
_atom_site_occupancy
Cu1 0.0000 0.0000 0.0000 1
Li1 0.5000 0.5000 0.0000 1
Li2 0.5000 0.0000 0.2438 1
Li3 0.0000 0.0000 0.5000 1
Li4 0.0000 0.5000 0.7562 1
Ni1 0.0000 0.5000 0.2496 1
Ni2 0.5000 0.0000 0.7504 1
Zn1 0.5000 0.5000 0.5000 1
```

## Properties
Total magnetization ... 0.01 Bohr magnetons per cell
Raw total energy ... -24.4 eV/cell


Record 6
The following is a PBE calculation of an optimized crystal structure of LiNpCu, from OQMD.

Geometry as CIF:
```
data_LiNpCu
_space_group_name_H-M_alt 'P 1'
_space_group_IT_number 1
_cell_length_a 4.5470
_cell_length_b 4.5470
_cell_length_c 4.5470
_cell_angle_alpha 60.00
_cell_angle_beta 60.00
_cell_angle_gamma 60.00
loop_
_space_group_symop_operation_xyz
'x,y,z'
loop_
_atom_site_label
_atom_site_fract_x
_atom_site_fract_y
_atom_site_fract_z
_atom_site_occupancy
Cu1 0.0000 0.0000 0.0000 1
Li1 0.2500 0.2500 0.2500 1
Np1 0.7500 0.7500 0.7500 1
```

## Properties
Total magnetization ... 4.91 Bohr magnetons per cell
E above lowest polymorph ... 0.00 eV/f.u.
Raw total energy ... -16.3 eV/cell


Repeat the fourth record exactly.
The following is a PBE calculation of an optimized crystal structure of LiZn2Cu4Ni, from OQMD.

Geometry as CIF:
```
data_LiZn2Cu4Ni
_space_group_name_H-M_alt 'P 1'
_space_group_IT_number 1
_cell_length_a 4.0735
_cell_length_b 4.0735
_cell_length_c 5.7988
_cell_angle_alpha 90.00
_cell_angle_beta 90.00
_cell_angle_gamma 90.00
loop_
_space_group_symop_operation_xyz
'x,y,z'
loop_
_atom_site_label
_atom_site_fract_x
_atom_site_fract_y
_atom_site_fract_z
_atom_site_occupancy
Cu1 0.5000 0.0000 0.2492 1
Cu2 0.0000 0.5000 0.2492 1
Cu3 0.5000 0.0000 0.7508 1
Cu4 0.0000 0.5000 0.7508 1
Li1 0.0000 0.0000 0.5000 1
Ni1 0.5000 0.5000 0.0000 1
Zn1 0.0000 0.0000 0.0000 1
Zn2 0.5000 0.5000 0.5000 1
```

## Properties
Total magnetization ... 0.00 Bohr magnetons per cell
Raw total energy ... -25.5 eV/cell